1.
Material: Cu2PtBrF
Method: DFT, GGA-PBE
State: optimized geometry

The calculation puts the total magnetization at 0.0 μB per formula unit.

It has space group P4/mmm (No. 123), with a = 4.906 Å, b = 4.906 Å, c = 4.007 Å, α = 90.00°, β = 90.00° and γ = 90.00°. The asymmetric unit holds Cu at (0.000, 0.500, 0.000), Pt at (0.000, 0.000, 0.000), Br at (0.500, 0.500, 0.500) and F at (0.000, 0.000, 0.500).


2.
Material: PuCu3Br2F6
Method: DFT, GGA-PBE
State: optimized geometry

The calculation puts the total magnetization at 3.0 μB per formula unit.

It has space group C2/m (No. 12), with a = 15.468 Å, b = 6.012 Å, c = 5.319 Å, α = 90.00°, β = 95.76° and γ = 90.00°. The asymmetric unit holds Pu at (0.000, 0.000, 0.000), Cu at (0.000, 0.500, 0.500), Cu at (0.250, 0.250, 0.000), Br at (0.195, 0.500, 0.695), F at (0.036, 0.262, 0.273) and F at (0.130, 0.000, 0.900).


3.
Material: RbCuBrF
Method: DFT, GGA-PBE
State: optimized geometry

The calculation puts the total magnetization at 0.0 μB per formula unit.

It has space group P3m1 (No. 156), with a = 4.2110 Å, b = 4.2110 Å, c = 6.4550 Å, α = 90.00°, β = 90.00° and γ = 120.00°. The asymmetric unit holds Rb at (0.0000, 0.0000, 0.0000), Cu at (0.3333, 0.6667, 0.4826), Br at (0.6667, 0.3333, 0.5805) and F at (0.3333, 0.6667, 0.1651).


4.
Material: RbCuBr2F8
Method: DFT, GGA-PBE
State: optimized geometry

The calculation puts the total magnetization at 2.0 μB per formula unit.

It has space group C2/m (No. 12), with a = 11.455 Å, b = 6.122 Å, c = 6.875 Å, α = 90.00°, β = 112.85° and γ = 90.00°. The asymmetric unit holds Rb at (0.000, 0.000, 0.000), Cu at (0.000, 0.500, 0.500), Br at (0.238, 0.000, 0.683), F at (0.003, 0.294, 0.319), F at (0.241, 0.000, 0.407) and F at (0.242, 0.000, 0.957).


5.
Material: RbCuBrF2
Method: DFT, GGA-PBE
State: optimized geometry

The calculation puts the total magnetization at 0.2 μB per formula unit.

It has space group P4/mmm (No. 123), with a = 4.436 Å, b = 4.436 Å, c = 4.843 Å, α = 90.00°, β = 90.00° and γ = 90.00°. The asymmetric unit holds Rb at (0.000, 0.000, 0.000), Cu at (0.500, 0.500, 0.500), Br at (0.500, 0.500, 0.000) and F at (0.000, 0.500, 0.500).


6.
Material: Rb2CuBr3F
Method: DFT, GGA-PBE
State: optimized geometry

The calculation puts the total magnetization at 0.9 μB per formula unit.

It has space group Immm (No. 71), with a = 4.396 Å, b = 5.324 Å, c = 17.209 Å, α = 90.00°, β = 90.00° and γ = 90.00°. The asymmetric unit holds Rb at (0.000, 0.000, 0.143), Cu at (0.000, 0.000, 0.500), Br at (0.000, 0.000, 0.351), Br at (0.000, 0.500, 0.500) and F at (0.000, 0.500, 0.000).


Result set for formation energy without anion corrections: 0.662; -22.576; -5.728; -15.236; -7.496; -9.329 eV per formula unit, one per record in the order listed.